(1)
MgAl2Pt: relaxed, PBE.

Cell and atoms, written as extended XYZ:
```
4
Lattice="-1.0398 3.9987 2.6417 -3.2913 -1.1118 3.4614 4.2487 -2.0760 -1.2741" Properties=species:S:1:pos:R:3 pbc="T T T"
Al -4.3309 2.8869 6.1030
Al -0.6040 -0.8722 2.6194
Mg -2.1656 1.4436 3.0517
Pt 0.5217 1.6832 2.2097
```

DOS at the Fermi energy: 1.20 states/eV per cell
ΔH_f (0 K): -0.510 eV per atom

(2)
MgAlPt6: relaxed, PBE.

Cell and atoms, written as extended XYZ:
```
8
Lattice="-3.2098 2.0274 1.0682 -1.4955 -0.4602 -3.6202 -3.4626 -6.6833 2.2801" Properties=species:S:1:pos:R:3 pbc="T T T"
Pt -2.4902 -0.6951 1.1171
Pt -4.1822 -3.9608 2.2312
Pt -2.3527 0.7836 -1.2760
Pt -3.3251 -5.2047 -0.1130
Pt -1.6331 -1.9389 -1.2271
Pt -4.0840 -2.5581 -0.1359
Mg 0.0000 0.0000 0.0000
Al -1.7313 -3.3417 1.1400
```

DOS at the Fermi energy: 6.69 states/eV per cell
ΔH_f (0 K): -0.650 eV per atom

Copy entry 1 word for word.
MgAl2Pt: relaxed, PBE.

Cell and atoms, written as extended XYZ:
```
4
Lattice="-1.0398 3.9987 2.6417 -3.2913 -1.1118 3.4614 4.2487 -2.0760 -1.2741" Properties=species:S:1:pos:R:3 pbc="T T T"
Al -4.3309 2.8869 6.1030
Al -0.6040 -0.8722 2.6194
Mg -2.1656 1.4436 3.0517
Pt 0.5217 1.6832 2.2097
```

DOS at the Fermi energy: 1.20 states/eV per cell
ΔH_f (0 K): -0.510 eV per atom

What is the ΔH_f (0 K) in the first record? -0.510 eV per atom